[1]
# PBE YZrAgS4, optimized geometry
# calculated total energy = -6.34 eV per atom
data_YZrAgS4
_chemical_formula_sum 'Y4 Zr4 Ag4 S16'
_symmetry_space_group_name_H-M 'I m m a'
_symmetry_Int_Tables_number 74
_symmetry_space_group_name_Hall '-I 2b 2'
_cell_length_a 7.6445
_cell_length_b 7.9394
_cell_length_c 11.0671
_cell_angle_alpha 90.00
_cell_angle_beta 90.00
_cell_angle_gamma 90.00
loop_
_atom_site_label
_atom_site_fract_x
_atom_site_fract_y
_atom_site_fract_z
_atom_site_occupancy
Y1 0.0000 0.0000 0.0000 1
Zr1 0.2500 0.2500 0.2500 1
Ag1 0.0000 0.2500 0.6280 1
S1 0.0000 0.0257 0.2486 1
S2 0.2423 0.2500 0.0179 1


[2]
# PBE YbAgS2, optimized geometry
# calculated total energy = -4.20 eV per atom
# DOS at the Fermi energy = 2.974 states/eV/atom
data_YbAgS2
_chemical_formula_sum 'Yb3 Ag3 S6'
_symmetry_space_group_name_H-M 'R -3 m'
_symmetry_Int_Tables_number 166
_symmetry_space_group_name_Hall '-R 3 2"'
_cell_length_a 4.0125
_cell_length_b 4.0125
_cell_length_c 17.9276
_cell_angle_alpha 90.00
_cell_angle_beta 90.00
_cell_angle_gamma 120.00
loop_
_atom_site_label
_atom_site_fract_x
_atom_site_fract_y
_atom_site_fract_z
_atom_site_occupancy
Yb1 0.0000 0.0000 0.0000 1
Ag1 0.0000 0.0000 0.5000 1
S1 0.0000 0.0000 0.2500 1


| no. | ΔE_f (raw) (meV/atom) |
| --- | --- |
| 1 | -1428 |
| 2 | -1040 |